(1)
The following is a PBE calculation of Zr4TePd after structural relaxation, from OQMD.

abc: 6.294 6.294 4.112
angles: 90.00 90.00 91.10
Positions (direct):
Zr (0.213, 0.787, 0.000)
Zr (0.315, 0.315, 0.500)
Zr (0.685, 0.685, 0.500)
Zr (0.787, 0.213, 0.000)
Te (0.000, 0.000, 0.500)
Pd (0.500, 0.500, 0.000)

Values from the calculation:
The space group is No. 65. The calculated total energy comes out at -6.95 eV/atom.


(2)
The following is a PBE calculation of ZrTePd after structural relaxation, from OQMD.

abc: 4.597 4.597 4.597
angles: 60.00 60.00 60.00
Positions (direct):
Zr (0.000, 0.000, 0.000)
Te (0.500, 0.500, 0.500)
Pd (0.750, 0.750, 0.750)

Values from the calculation:
The space group is No. 216. For the energy relative to the lowest polymorph listed for this composition, the calculation gives 0 meV/atom.


(3)
The following is a PBE calculation of ThPd after structural relaxation, from OQMD.

abc: 4.577 4.577 4.577
angles: 60.00 60.00 60.00
Positions (direct):
Th (0.000, 0.000, 0.000)
Pd (0.250, 0.250, 0.250)

Values from the calculation:
The formation energy is 8 meV per atom. The space group is No. 216.


(4)
The following is a PBE calculation of ThPd after structural relaxation, from OQMD.

abc: 4.194 4.194 4.194
angles: 60.00 60.00 60.00
Positions (direct):
Th (0.000, 0.000, 0.000)
Pd (0.500, 0.500, 0.500)

Values from the calculation:
The formation energy is -650 meV per atom. The space group is No. 225.


(5)
The following is a PBE calculation of ThPd after structural relaxation, from OQMD.

abc: 3.528 3.528 4.414
angles: 90.00 90.00 120.00
Positions (direct):
Th (0.000, 0.000, 0.000)
Pd (0.333, 0.667, 0.500)

Values from the calculation:
The formation energy is -475 meV per atom. The space group is No. 187.


(6)
The following is a PBE calculation of Th2Tl2Pd after structural relaxation, from OQMD.

abc: 6.177 10.015 4.405
angles: 90.00 90.00 90.00
Positions (direct):
Th (0.133, 0.180, 0.000)
Th (0.367, 0.680, 0.000)
Th (0.633, 0.320, 0.000)
Th (0.867, 0.820, 0.000)
Tl (0.240, 0.915, 0.500)
Tl (0.260, 0.415, 0.500)
Tl (0.740, 0.585, 0.500)
Tl (0.760, 0.085, 0.500)
Pd (0.000, 0.500, 0.000)
Pd (0.500, 0.000, 0.000)

Values from the calculation:
The space group is No. 55. The calculated total energy comes out at -5.12 eV/atom.


(7)
The following is a PBE calculation of TmThPd after structural relaxation, from OQMD.

abc: 4.926 4.926 4.926
angles: 60.00 60.00 60.00
Positions (direct):
Tm (0.000, 0.000, 0.000)
Th (0.500, 0.500, 0.500)
Pd (0.750, 0.750, 0.750)

Values from the calculation:
The formation energy is -323 meV per atom. The space group is No. 216. For the energy relative to the lowest polymorph listed for this composition, the calculation gives 0 meV/atom.


(8)
The following is a PBE calculation of ThPdW after structural relaxation, from OQMD.

abc: 4.673 4.673 4.673
angles: 60.00 60.00 60.00
Positions (direct):
Th (0.000, 0.000, 0.000)
Pd (0.250, 0.250, 0.250)
W (0.500, 0.500, 0.500)

Values from the calculation:
The formation energy is 634 meV per atom. The space group is No. 216. For the energy relative to the lowest polymorph listed for this composition, the calculation gives 0 meV/atom.


Copy entry 8 word for word.
The following is a PBE calculation of ThPdW after structural relaxation, from OQMD.

abc: 4.673 4.673 4.673
angles: 60.00 60.00 60.00
Positions (direct):
Th (0.000, 0.000, 0.000)
Pd (0.250, 0.250, 0.250)
W (0.500, 0.500, 0.500)

Values from the calculation:
The formation energy is 634 meV per atom. The space group is No. 216. For the energy relative to the lowest polymorph listed for this composition, the calculation gives 0 meV/atom.


Number 5 is which compound?
ThPd